[1]
The following is a DFT calculation (GGA-PBE) of a relaxed structure of YNi4Ge4.

abc: 8.0309 8.0309 4.5881
angles: 90.00 90.00 90.00
Space group I4/m (No. 87)
Unique sites:
Y 0.0000 0.0000 0.0000 x2
Ni 0.1690 0.3136 0.5000 x8
Ge 0.1196 0.3786 0.0000 x8


[2]
The following is a DFT calculation (GGA-PBE) of a relaxed structure of YEr3Ir8.

abc: 5.3476 5.3476 8.6931
angles: 90.00 90.00 120.00
Space group P3m1 (No. 156)
Unique sites:
Y 0.0000 0.0000 0.0000 x1
Er 0.0000 0.0000 0.3664 x1
Er 0.6667 0.3333 0.4993 x1
Er 0.6667 0.3333 0.8649 x1
Ir 0.1633 0.3266 0.6819 x3
Ir 0.3333 0.6667 0.4324 x1
Ir 0.3333 0.6667 0.9323 x1
Ir 0.5035 0.0069 0.1833 x3


Number 1: ΔH_f (0 K) -0.298 eV/atom. Number 2: ΔH_f (0 K) -0.825 eV/atom.